--- P ---
Here is a geometry-optimized YZr3Ga structure from Alexandria. Energies are from GGA-PBE.

Cell: 5.188 5.188 5.188 Å, 90.00 90.00 90.00°
Space group Pm-3m (No. 221)
Symmetry-distinct sites (fractional):
Y (0.000, 0.000, 0.000) [1 per cell]
Zr (0.000, 0.000, 0.500) [3 per cell]
Ga (0.500, 0.500, 0.500) [1 per cell]

=====

--- Q ---
Here is a geometry-optimized YZr3Ga structure from Alexandria. Energies are from GGA-PBE.

Cell: 5.140 5.140 5.140 Å, 90.00 90.00 90.00°
Space group Pm-3m (No. 221)
Symmetry-distinct sites (fractional):
Y (0.000, 0.000, 0.000) [1 per cell]
Zr (0.000, 0.500, 0.500) [3 per cell]
Ga (0.500, 0.500, 0.500) [1 per cell]

=====

Most favorable structure: Q. The second most favorable one is 102.3 kJ/mol of atoms above it.

=====

--- P ---
Here is a geometry-optimized YZrGa3 structure from Alexandria. Energies are from GGA-PBE.

Cell: 5.065 5.065 5.065 Å, 90.00 90.00 90.00°
Space group Pm-3m (No. 221)
Symmetry-distinct sites (fractional):
Y (0.000, 0.000, 0.000) [1 per cell]
Zr (0.500, 0.500, 0.500) [1 per cell]
Ga (0.000, 0.500, 0.500) [3 per cell]

=====

--- Q ---
Here is a geometry-optimized YZrGa3 structure from Alexandria. Energies are from GGA-PBE.

Cell: 4.016 25.098 4.053 Å, 90.00 90.00 90.00°
Space group Cmcm (No. 63)
Symmetry-distinct sites (fractional):
Y (0.000, 0.075, 0.250) [4 per cell]
Zr (0.000, 0.206, 0.750) [4 per cell]
Ga (0.000, 0.317, 0.750) [4 per cell]
Ga (0.000, 0.377, 0.250) [4 per cell]
Ga (0.000, 0.474, 0.250) [4 per cell]

=====

Most favorable structure: Q. The second most favorable one is 68.8 kJ/mol of atoms above it.

=====

--- P ---
Here is a geometry-optimized Zn5Ga2 structure from Alexandria. Energies are from GGA-PBE.

Cell: 4.3290 4.3290 21.6703 Å, 90.00 90.00 120.00°
Space group R-3m (No. 166, hexagonal axes)
Symmetry-distinct sites (fractional):
Zn (0.0000, 0.0000, 0.0000) [3 per cell]
Zn (0.0000, 0.0000, 0.2875) [6 per cell]
Zn (0.0000, 0.0000, 0.4223) [6 per cell]
Ga (0.0000, 0.0000, 0.1395) [6 per cell]

=====

--- Q ---
Here is a geometry-optimized Zn5Ga2 structure from Alexandria. Energies are from GGA-PBE.

Cell: 2.896 2.896 26.900 Å, 90.00 90.00 90.00°
Space group I4/mmm (No. 139)
Symmetry-distinct sites (fractional):
Zn (0.000, 0.000, 0.000) [2 per cell]
Zn (0.000, 0.000, 0.134) [4 per cell]
Zn (0.000, 0.000, 0.433) [4 per cell]
Ga (0.000, 0.000, 0.292) [4 per cell]

=====

Most favorable structure: Q. The second most favorable one is 6.1 kJ/mol of atoms above it.